Entry 1:
The following is a DFT calculation (PBE) of a relaxed HfMnSi2 crystal.

Properties
Magnetization = 0.0 Bohr magnetons per cell
ρ = 8267 kg/m³
E_form (uncorrected) = -0.072 eV per atom
Density of states at the Fermi level = 0.888 states/eV/atom

abc: 4.349 4.349 4.349
angles: 60.00 60.00 60.00
Fractional positions:
Hf1 0.000 0.000 0.000
Mn1 0.500 0.500 0.500
Si1 0.250 0.250 0.250
Si2 0.750 0.750 0.750

=====

Entry 2:
The following is a DFT calculation (PBE) of a relaxed Hf2Mn3Si crystal.

Properties
Magnetization = 1.1 Bohr magnetons per cell
ρ = 10613 kg/m³
E_form (uncorrected) = -0.462 eV per atom
Density of states at the Fermi level = 0.857 states/eV/atom

abc: 4.899 4.899 4.948
angles: 119.19 119.19 61.67
Fractional positions:
Hf1 0.122 0.122 0.366
Hf2 0.878 0.878 0.634
Mn1 0.000 0.500 0.000
Mn2 0.500 0.000 0.000
Mn3 0.500 0.500 0.000
Si1 0.500 0.500 0.500

=====

Entry 3:
The following is a DFT calculation (PBE) of a relaxed SrHfMn2Si crystal.

Properties
Magnetization = 5.5 Bohr magnetons per cell
ρ = 4892 kg/m³
E_form (uncorrected) = 1.395 eV per atom
Density of states at the Fermi level = 1.043 states/eV/atom

abc: 4.789 4.789 5.980
angles: 90.00 90.00 90.00
Fractional positions:
Sr1 0.000 0.000 0.000
Hf1 0.000 0.000 0.500
Mn1 0.000 0.500 0.500
Mn2 0.500 0.000 0.500
Si1 0.500 0.500 0.000

=====

Entry 4:
The following is a DFT calculation (PBE) of a relaxed HfMnSiTc crystal.

Properties
Magnetization = 2.0 Bohr magnetons per cell
ρ = 10299 kg/m³
E_form (uncorrected) = -0.374 eV per atom
Density of states at the Fermi level = 0.902 states/eV/atom

abc: 4.344 4.344 4.344
angles: 60.00 60.00 60.00
Fractional positions:
Hf1 0.000 0.000 0.000
Mn1 0.750 0.750 0.750
Si1 0.500 0.500 0.500
Tc1 0.250 0.250 0.250

=====

Entry 5:
The following is a DFT calculation (PBE) of a relaxed YHfMn2Si crystal.

Properties
Magnetization = 0.0 Bohr magnetons per cell
ρ = 6825 kg/m³
E_form (uncorrected) = 1.682 eV per atom
Density of states at the Fermi level = 1.919 states/eV/atom

abc: 4.405 4.405 5.083
angles: 90.00 90.00 90.00
Fractional positions:
Y1 0.000 0.000 0.000
Hf1 0.500 0.500 0.500
Mn1 0.000 0.500 0.000
Mn2 0.500 0.000 0.000
Si1 0.000 0.000 0.500

=====

Entry 6:
The following is a DFT calculation (PBE) of a relaxed SmHfMn4 crystal.

Properties
DFT formation energy = 85 meV/atom
Magnetization = 2.7 Bohr magnetons per cell
ρ = 10006 kg/m³
Density of states at the Fermi level = 1.515 states/eV/atom

abc: 5.050 5.050 5.050
angles: 60.00 60.00 60.00
Fractional positions:
Sm1 0.000 0.000 0.000
Hf1 0.250 0.250 0.250
Mn1 0.127 0.624 0.624
Mn2 0.624 0.127 0.624
Mn3 0.624 0.624 0.127
Mn4 0.624 0.624 0.624

=====

Entry 7:
The following is a DFT calculation (PBE) of a relaxed Hf2MnSn2 crystal.

Properties
DFT formation energy = -85 meV/atom
Magnetization = 4.7 Bohr magnetons per cell
ρ = 10316 kg/m³
Density of states at the Fermi level = 0.874 states/eV/atom

abc: 7.017 7.017 4.246
angles: 90.00 90.00 90.00
Fractional positions:
Hf1 0.164 0.336 0.000
Hf2 0.336 0.836 0.000
Hf3 0.664 0.164 0.000
Hf4 0.836 0.664 0.000
Mn1 0.000 0.000 0.500
Mn2 0.500 0.500 0.500
Sn1 0.144 0.644 0.500
Sn2 0.356 0.144 0.500
Sn3 0.644 0.856 0.500
Sn4 0.856 0.356 0.500

=====

Entry 8:
The following is a DFT calculation (PBE) of a relaxed HfMn2Sn2 crystal.

Properties
DFT formation energy = 185 meV/atom
Magnetization = 0.0 Bohr magnetons per cell
ρ = 10155 kg/m³
Density of states at the Fermi level = 1.183 states/eV/atom

abc: 7.306 7.306 3.221
angles: 90.00 90.00 90.00
Fractional positions:
Hf1 0.000 0.000 0.000
Hf2 0.500 0.500 0.000
Mn1 0.128 0.372 0.000
Mn2 0.372 0.872 0.000
Mn3 0.628 0.128 0.000
Mn4 0.872 0.628 0.000
Sn1 0.167 0.667 0.500
Sn2 0.333 0.167 0.500
Sn3 0.667 0.833 0.500
Sn4 0.833 0.333 0.500

=====

Entry 9:
The following is a DFT calculation (PBE) of a relaxed Hf2MnSn crystal.

Properties
DFT formation energy = -28 meV/atom
Magnetization = 0.0 Bohr magnetons per cell
ρ = 11103 kg/m³
Density of states at the Fermi level = 0.542 states/eV/atom

abc: 8.893 8.893 8.893
angles: 21.04 21.04 21.04
Fractional positions:
Hf1 0.236 0.236 0.236
Hf2 0.764 0.764 0.764
Mn1 0.500 0.500 0.500
Sn1 0.000 0.000 0.000

=====

Entry 10:
The following is a DFT calculation (PBE) of a relaxed HfMn2Sn crystal.

Properties
DFT formation energy = -76 meV/atom
Magnetization = 2.7 Bohr magnetons per cell
ρ = 10639 kg/m³
Density of states at the Fermi level = 0.763 states/eV/atom

abc: 4.310 4.310 3.420
angles: 90.00 90.00 90.00
Fractional positions:
Hf1 0.000 0.000 0.000
Mn1 0.000 0.500 0.500
Mn2 0.500 0.000 0.500
Sn1 0.500 0.500 0.000

=====

Entry 11:
The following is a DFT calculation (PBE) of a relaxed Hf5Mn2Sn crystal.

Properties
DFT formation energy = -126 meV/atom
Magnetization = 0.0 Bohr magnetons per cell
ρ = 11692 kg/m³
Density of states at the Fermi level = 1.102 states/eV/atom

abc: 8.383 8.383 8.383
angles: 132.05 132.05 70.16
Fractional positions:
Hf1 0.000 0.000 0.000
Hf2 0.030 0.530 0.834
Hf3 0.196 0.030 0.500
Hf4 0.304 0.804 0.834
Hf5 0.470 0.304 0.500
Hf6 0.500 0.500 0.000
Hf7 0.530 0.696 0.500
Hf8 0.696 0.196 0.166
Hf9 0.804 0.970 0.500
Hf10 0.970 0.470 0.166
Mn1 0.114 0.386 0.500
Mn2 0.386 0.886 0.271
Mn3 0.614 0.114 0.729
Mn4 0.886 0.614 0.500
Sn1 0.250 0.250 0.000
Sn2 0.750 0.750 0.000

=====

Entry 12:
The following is a DFT calculation (PBE) of a relaxed Hf2MnSn crystal.

Properties
DFT formation energy = -123 meV/atom
Magnetization = 2.7 Bohr magnetons per cell
ρ = 11212 kg/m³
Density of states at the Fermi level = 1.016 states/eV/atom

abc: 4.286 4.286 4.277
angles: 90.00 90.00 90.00
Fractional positions:
Hf1 0.000 0.500 0.000
Hf2 0.500 0.000 0.000
Mn1 0.000 0.000 0.500
Sn1 0.500 0.500 0.500